Entry 1:
LuMgAgTe3 | GGA-PBE | relaxed

a b c (Å): 13.6525 4.2153 12.4649
angles (deg): 90.00 90.00 90.00
Last column: nearest neighbours and their distance in Å.
Atoms (fractional coordinates):
Lu (0.0551, 0.2500, 0.1632)  6 Te 2.96-3.24
Lu (0.4449, 0.7500, 0.6632)  6 Te 2.96-3.24
Lu (0.5551, 0.2500, 0.3368)  6 Te 2.96-3.24
Lu (0.9449, 0.7500, 0.8368)  6 Te 2.96-3.24
Mg (0.1318, 0.2500, 0.5159)  5 Te 2.89-3.03
Mg (0.3682, 0.7500, 0.0159)  5 Te 2.89-3.03
Mg (0.6318, 0.2500, 0.9841)  5 Te 2.89-3.03
Mg (0.8682, 0.7500, 0.4841)  5 Te 2.89-3.03
Ag (0.2456, 0.2500, 0.7933)  4 Te 2.73-2.89
Ag (0.2544, 0.7500, 0.2933)  4 Te 2.73-2.89
Ag (0.7456, 0.2500, 0.7067)  4 Te 2.73-2.89
Ag (0.7544, 0.7500, 0.2067)  4 Te 2.73-2.89
Te (0.0581, 0.7500, 0.3611)  1 Ag 2.81, 3 Mg 3.01-3.03
Te (0.0793, 0.2500, 0.9151)  1 Ag 2.73, 2 Lu 2.96
Te (0.2266, 0.7500, 0.6358)  2 Mg 2.89, 2 Ag 2.89, 1 Lu 3.00
Te (0.2734, 0.2500, 0.1358)  2 Mg 2.89, 2 Ag 2.89, 1 Lu 3.00
Te (0.4207, 0.7500, 0.4151)  1 Ag 2.73, 2 Lu 2.96
Te (0.4419, 0.2500, 0.8611)  1 Ag 2.81, 3 Mg 3.01-3.03
Te (0.5581, 0.7500, 0.1389)  1 Ag 2.81, 3 Mg 3.01-3.03
Te (0.5793, 0.2500, 0.5849)  1 Ag 2.73, 2 Lu 2.96
Te (0.7266, 0.7500, 0.8642)  2 Mg 2.89, 2 Ag 2.89, 1 Lu 3.00
Te (0.7734, 0.2500, 0.3642)  2 Mg 2.89, 2 Ag 2.89, 1 Lu 3.00
Te (0.9207, 0.7500, 0.0849)  1 Ag 2.73, 2 Lu 2.96
Te (0.9419, 0.2500, 0.6389)  1 Ag 2.81, 3 Mg 3.01-3.03

Summary:
* energy above the most stable polymorph in this dataset: 0.023 eV per atom
* space group: Pnma
* spin magnetization: 0.0 μB per cell

***

Entry 2:
BaSrAs4Pd2 | GGA-PBE | relaxed

a b c (Å): 4.6432 8.9594 8.9594
angles (deg): 29.99 90.00 90.00
Last column: nearest neighbours and their distance in Å.
Atoms (fractional coordinates):
Ba (0.0000, 0.0000, 0.0000)  10 As 3.38-3.50, 5 Pd 3.56-3.68
Sr (0.5000, 0.2112, 0.2112)  10 As 3.36-3.49, 5 Pd 3.54-3.61
As (0.0000, 0.3530, 0.3530)  4 Pd 2.58-2.59
As (0.0000, 0.6422, 0.6422)  1 Pd 2.52, 2 As 2.63
As (0.5000, 0.5708, 0.5708)  1 Pd 2.62, 2 As 2.63
As (0.5000, 0.8518, 0.8518)  4 Pd 2.57-2.60
Pd (0.0000, 0.7876, 0.7876)  5 As 2.52-2.58
Pd (0.5000, 0.4195, 0.4195)  5 As 2.59-2.62

Summary:
* space group: Amm2
* total energy: -4.8787 eV per atom

***

Entry 3:
CsZrAg3Te4 | GGA-PBE | relaxed

a b c (Å): 6.6675 8.6034 11.0599
angles (deg): 90.00 106.67 90.00
Last column: nearest neighbours and their distance in Å.
Atoms (fractional coordinates):
Cs (0.1825, 0.2500, 0.3853)  9 Te 3.88-4.32
Cs (0.8175, 0.7500, 0.6147)  9 Te 3.88-4.32
Zr (0.3600, 0.7500, 0.2130)  4 Te 2.71-2.83
Zr (0.6400, 0.2500, 0.7870)  4 Te 2.71-2.83
Ag (0.1397, 0.2500, 0.7914)  4 Te 2.81-2.98, 2 Ag 2.99
Ag (0.2880, 0.0205, 0.0012)  4 Te 2.85-2.92, 2 Ag 2.86-2.99
Ag (0.2880, 0.4795, 0.0012)  4 Te 2.85-2.92, 2 Ag 2.86-2.99
Ag (0.7120, 0.5205, 0.9988)  4 Te 2.85-2.92, 2 Ag 2.86-2.99
Ag (0.7120, 0.9795, 0.9988)  4 Te 2.85-2.92, 2 Ag 2.86-2.99
Ag (0.8603, 0.7500, 0.2086)  4 Te 2.81-2.98, 2 Ag 2.99
Te (0.0280, 0.7500, 0.9864)  1 Zr 2.83, 5 Ag 2.88-2.98
Te (0.2162, 0.7500, 0.4188)  1 Zr 2.71, 1 Ag 2.81
Te (0.3907, 0.5149, 0.7647)  1 Zr 2.79, 3 Ag 2.85-2.90
Te (0.3907, 0.9851, 0.7647)  1 Zr 2.79, 3 Ag 2.85-2.90
Te (0.6093, 0.0149, 0.2353)  1 Zr 2.79, 3 Ag 2.85-2.90
Te (0.6093, 0.4851, 0.2353)  1 Zr 2.79, 3 Ag 2.85-2.90
Te (0.7838, 0.2500, 0.5812)  1 Zr 2.71, 1 Ag 2.81
Te (0.9720, 0.2500, 0.0136)  1 Zr 2.83, 5 Ag 2.88-2.98

Summary:
* energy above the most stable polymorph in this dataset: 0.000 eV per atom
* space group: P2_1/m
* spin magnetization: 0.0 μB per cell

***

Entry 4:
Er2TmCu4Si2Ge2 | GGA-PBE | relaxed

a b c (Å): 7.8783 7.8783 7.8783
angles (deg): 149.74 130.71 58.93
Last column: nearest neighbours and their distance in Å.
Atoms (fractional coordinates):
Er (0.1295, 0.1295, 0.0000)  2 Si 2.95, 6 Cu 2.95-2.97, 4 Ge 3.00
Er (0.8705, 0.8705, 0.0000)  2 Si 2.95, 6 Cu 2.95-2.97, 4 Ge 3.00
Tm (0.5000, 0.0000, 0.5000)  4 Ge 2.88, 2 Si 2.97
Cu (0.1343, 0.3254, 0.8088)  3 Si 2.48-2.52, 1 Ge 2.51, 1 Cu 2.51
Cu (0.4834, 0.6746, 0.8088)  3 Si 2.48-2.52, 1 Ge 2.51, 1 Cu 2.51
Cu (0.5166, 0.3254, 0.1912)  3 Si 2.48-2.52, 1 Ge 2.51, 1 Cu 2.51
Cu (0.8657, 0.6746, 0.1912)  3 Si 2.48-2.52, 1 Ge 2.51, 1 Cu 2.51
Si (0.2838, 0.7838, 0.5000)  6 Cu 2.48-2.52
Si (0.7162, 0.2162, 0.5000)  6 Cu 2.48-2.52
Ge (0.1940, 0.5000, 0.6940)  2 Cu 2.51, 1 Ge 2.55
Ge (0.8060, 0.5000, 0.3060)  2 Cu 2.51, 1 Ge 2.55

Summary:
* energy above the most stable polymorph in this dataset: 0.000 eV per atom
* space group: Immm
* spin magnetization: 0.0 μB per cell

***

Entry 5:
NaTmBeSe3 | GGA-PBE | relaxed

a b c (Å): 7.0678 7.0678 10.6936
angles (deg): 90.00 90.00 147.93
Last column: nearest neighbours and their distance in Å.
Atoms (fractional coordinates):
Na (0.2475, 0.7525, 0.7500)  6 Se 3.08-3.17
Na (0.7525, 0.2475, 0.2500)  6 Se 3.08-3.17
Tm (0.0000, 0.0000, 0.0000)  6 Se 2.79-2.83
Tm (0.0000, 0.0000, 0.5000)  6 Se 2.79-2.83
Be (0.4647, 0.5353, 0.2500)  4 Se 2.24-2.41
Be (0.5353, 0.4647, 0.7500)  4 Se 2.24-2.41
Se (0.0688, 0.9312, 0.2500)  2 Be 2.41
Se (0.3675, 0.6325, 0.0812)  1 Be 2.24
Se (0.3675, 0.6325, 0.4188)  1 Be 2.24
Se (0.6325, 0.3675, 0.5812)  1 Be 2.24
Se (0.6325, 0.3675, 0.9188)  1 Be 2.24
Se (0.9312, 0.0688, 0.7500)  2 Be 2.41

Summary:
* space group: Cmcm
* total energy: -4.6659 eV per atom
* spin magnetization: 0.0 μB per cell